# 1
First-principles (PBE-GGA) data for crystalline Er6Tc2Au at its relaxed geometry, as listed in Alexandria. Values from VASP.

## Properties
Energy of formation from the pure elements = -2.31 eV/f.u.
SG = Immm, No. 71

Structure (Quantum ESPRESSO input):
```
&SYSTEM
  ibrav = 0, nat = 18, ntyp = 3
/
ATOMIC_SPECIES
Er 167.26 Er.upf
Tc 98.00 Tc.upf
Au 196.97 Au.upf
CELL_PARAMETERS angstrom
-4.684 4.729 5.025
4.684 -4.729 5.025
4.684 4.729 -5.025
ATOMIC_POSITIONS crystal
Er 0.026 0.821 0.206
Er 0.237 0.536 0.298
Er 0.237 0.939 0.702
Er 0.277 0.315 0.592
Er 0.277 0.685 0.962
Er 0.385 0.179 0.206
Er 0.615 0.821 0.794
Er 0.723 0.315 0.038
Er 0.723 0.685 0.408
Er 0.763 0.061 0.298
Er 0.763 0.464 0.702
Er 0.974 0.179 0.794
Tc 0.000 0.136 0.136
Tc 0.000 0.864 0.864
Tc 0.382 0.382 0.000
Tc 0.618 0.618 0.000
Au 0.000 0.500 0.500
Au 0.500 0.000 0.500
```

***

# 2
First-principles (PBE-GGA) data for crystalline Tb2PrEr12 at its relaxed geometry, as listed in Alexandria. Values from VASP.

## Properties
Energy of formation from the pure elements = 1.69 eV/f.u.
SG = C2/m, No. 12

Structure (Quantum ESPRESSO input):
```
&SYSTEM
  ibrav = 0, nat = 30, ntyp = 3
/
ATOMIC_SPECIES
Tb 158.93 Tb.upf
Pr 140.91 Pr.upf
Er 167.26 Er.upf
CELL_PARAMETERS angstrom
3.532 -5.534 0.000
3.532 5.534 0.000
-1.735 0.000 24.142
ATOMIC_POSITIONS crystal
Tb 0.068 0.068 0.273
Tb 0.430 0.430 0.727
Tb 0.570 0.570 0.273
Tb 0.932 0.932 0.727
Pr 0.250 0.250 0.000
Pr 0.750 0.750 0.000
Er 0.051 0.551 0.203
Er 0.085 0.582 0.332
Er 0.139 0.636 0.555
Er 0.141 0.141 0.574
Er 0.214 0.214 0.861
Er 0.230 0.730 0.924
Er 0.270 0.770 0.076
Er 0.286 0.286 0.139
Er 0.356 0.356 0.428
Er 0.364 0.861 0.445
Er 0.418 0.915 0.668
Er 0.449 0.949 0.797
Er 0.551 0.051 0.203
Er 0.582 0.085 0.332
Er 0.636 0.139 0.555
Er 0.644 0.644 0.572
Er 0.714 0.714 0.861
Er 0.730 0.230 0.924
Er 0.770 0.270 0.076
Er 0.786 0.786 0.139
Er 0.859 0.859 0.426
Er 0.861 0.364 0.445
Er 0.915 0.418 0.668
Er 0.949 0.449 0.797
```

***

# 3
First-principles (PBE-GGA) data for crystalline La8Ir4Pt at its relaxed geometry, as listed in Alexandria. Values from VASP.

## Properties
Energy of formation from the pure elements = -9.54 eV/f.u.
SG = C2/m, No. 12

Structure (Quantum ESPRESSO input):
```
&SYSTEM
  ibrav = 0, nat = 13, ntyp = 3
/
ATOMIC_SPECIES
La 138.91 La.upf
Ir 192.22 Ir.upf
Pt 195.08 Pt.upf
CELL_PARAMETERS angstrom
9.005 -2.134 0.000
9.005 2.134 0.000
-7.713 0.000 10.714
ATOMIC_POSITIONS crystal
La 0.051 0.051 0.194
La 0.196 0.196 0.562
La 0.322 0.322 0.963
La 0.440 0.440 0.320
La 0.560 0.560 0.680
La 0.678 0.678 0.037
La 0.804 0.804 0.438
La 0.949 0.949 0.806
Ir 0.129 0.129 0.855
Ir 0.376 0.376 0.612
Ir 0.624 0.624 0.388
Ir 0.871 0.871 0.145
Pt 0.500 0.500 0.000
```